P) Here is crystalline Pr2Nd8Zn at its relaxed geometry from Alexandria via LeMat-Bulk. Energies are from GGA-PBE.

Unit cell a=10.202 b=10.202 c=6.603 alpha=93.27 beta=93.27 gamma=32.76
Sites, in units of the cell vectors:
Pr  0.237  0.237  0.332
Pr  0.763  0.763  0.668
Nd  0.039  0.039  0.252
Nd  0.154  0.154  0.809
Nd  0.346  0.346  0.880
Nd  0.422  0.422  0.390
Nd  0.578  0.578  0.610
Nd  0.654  0.654  0.120
Nd  0.846  0.846  0.191
Nd  0.961  0.961  0.748
Zn  0.500  0.500  0.000

Output
D(E_F) in states/eV per cell: 14.32
Space-group type: C2/m

=====

Q) Here is crystalline Pr2Nd8Zn at its relaxed geometry from Alexandria via LeMat-Bulk. Energies are from GGA-PBE.

Unit cell a=9.515 b=9.515 c=7.571 alpha=108.09 beta=108.09 gamma=35.02
Sites, in units of the cell vectors:
Pr  0.184  0.184  0.169
Pr  0.816  0.816  0.831
Nd  0.013  0.013  0.278
Nd  0.185  0.185  0.729
Nd  0.344  0.344  0.562
Nd  0.398  0.398  0.077
Nd  0.602  0.602  0.923
Nd  0.656  0.656  0.438
Nd  0.815  0.815  0.271
Nd  0.987  0.987  0.722
Zn  0.500  0.500  0.500

Output
D(E_F) in states/eV per cell: 16.76
Space-group type: C2/m

=====

Q: What are the energies relative to the best structure? A: P) 0.000; Q) 0.061, in eV/atom.

=====

P) Here is crystalline Pr2Nd2Zn at its relaxed geometry from Alexandria via LeMat-Bulk. Energies are from GGA-PBE.

Unit cell a=3.719 b=3.719 c=22.957 alpha=90.00 beta=90.00 gamma=90.00
Sites, in units of the cell vectors:
Pr  0.000  0.000  0.080
Pr  0.000  0.000  0.920
Pr  0.500  0.500  0.420
Pr  0.500  0.500  0.580
Nd  0.000  0.000  0.305
Nd  0.000  0.000  0.695
Nd  0.500  0.500  0.195
Nd  0.500  0.500  0.805
Zn  0.000  0.000  0.500
Zn  0.500  0.500  0.000

Output
D(E_F) in states/eV per cell: 11.38
Space-group type: I4/mmm

=====

Q) Here is crystalline Pr2Nd2Zn at its relaxed geometry from Alexandria via LeMat-Bulk. Energies are from GGA-PBE.

Unit cell a=6.459 b=6.459 c=8.327 alpha=105.88 beta=105.88 gamma=97.42
Sites, in units of the cell vectors:
Pr  0.160  0.160  0.411
Pr  0.277  0.277  0.877
Pr  0.723  0.723  0.123
Pr  0.840  0.840  0.589
Nd  0.233  0.615  0.266
Nd  0.385  0.767  0.734
Nd  0.615  0.233  0.266
Nd  0.767  0.385  0.734
Zn  0.141  0.859  0.000
Zn  0.859  0.141  0.000

Output
D(E_F) in states/eV per cell: 10.43
Space-group type: C2/m

=====

Q: What are the energies relative to the best structure? A: P) 0.000; Q) 0.079, in eV/atom.